Entry 1:
Here is Li2SbP after structural relaxation from Alexandria via LeMat-Bulk. Energies are from PBE.

a b c (Å): 7.721 7.721 6.075
angles (deg): 50.54 50.54 90.00
Element x y z (fractional)
Li 0.560 0.125 0.250
Li 0.375 0.440 0.750
Li 0.190 0.625 0.250
Li 0.875 0.810 0.750
P 0.500 0.500 0.000
P 0.250 0.750 0.500
Sb 0.000 0.000 0.000
Sb 0.750 0.250 0.500

Results
* SG: I-42d (122)
* offset from the most stable computed form: 0.773 eV/f.u.


Entry 2:
Here is Li2SbP after structural relaxation from Alexandria via LeMat-Bulk. Energies are from PBE.

a b c (Å): 6.365 6.365 4.001
angles (deg): 89.85 89.85 26.93
Element x y z (fractional)
Sb 0.794 0.794 0.625
Li 0.966 0.966 0.124
Li 0.171 0.171 0.126
P 0.569 0.569 0.625

Results
* SG: Cm (8)
* offset from the most stable computed form: 0.254 eV/f.u.


Entry 3:
Here is LiSbP2 after structural relaxation from Alexandria via LeMat-Bulk. Energies are from PBE.

a b c (Å): 3.261 4.060 6.946
angles (deg): 62.93 90.00 90.00
Element x y z (fractional)
Li 0.500 0.754 0.805
P 0.000 0.094 0.981
P 0.500 0.175 0.167
Sb 0.000 0.478 0.548

Results
* SG: Pm (6)


Entry 4:
Here is LiSbP2 after structural relaxation from Alexandria via LeMat-Bulk. Energies are from PBE.

a b c (Å): 5.766 5.766 4.339
angles (deg): 71.17 71.17 34.17
Element x y z (fractional)
Sb 0.453 0.453 0.579
Li 0.237 0.237 0.259
P 0.735 0.735 0.752
P 0.075 0.075 0.911

Results
* SG: Cm (8)


Entry 5:
Here is Li5SbP after structural relaxation from Alexandria via LeMat-Bulk. Energies are from PBE.

a b c (Å): 4.130 4.130 6.949
angles (deg): 90.00 90.00 89.96
Element x y z (fractional)
Li 0.000 0.500 0.734
Li 0.000 0.500 0.266
Li 0.000 0.000 0.500
Li 0.500 0.000 0.734
Li 0.500 0.000 0.266
P 0.500 0.500 0.500
Sb 0.000 0.000 0.000

Results
* SG: P4/mmm (123)


Entry 6:
Here is Li2SbP after structural relaxation from Alexandria via LeMat-Bulk. Energies are from PBE.

a b c (Å): 5.356 5.356 5.356
angles (deg): 136.67 136.67 62.94
Element x y z (fractional)
Sb 0.750 0.250 0.500
Li 0.000 0.000 0.000
Li 0.250 0.750 0.500
P 0.500 0.500 0.000

Results
* SG: I-4m2 (119)
* offset from the most stable computed form: 0.500 eV/f.u.


Entry 7:
Here is LiSbP after structural relaxation from Alexandria via LeMat-Bulk. Energies are from PBE.

a b c (Å): 4.612 4.612 4.612
angles (deg): 60.00 60.00 60.00
Element x y z (fractional)
P 0.750 0.750 0.750
Li 0.500 0.500 0.500
Sb 0.000 0.000 0.000

Results
* SG: F-43m (216)
* offset from the most stable computed form: 0.640 eV/f.u.


Entry 8:
Here is LiSb4P after structural relaxation from Alexandria via LeMat-Bulk. Energies are from PBE.

a b c (Å): 6.153 6.153 6.153
angles (deg): 60.00 60.00 60.00
Element x y z (fractional)
Sb 0.374 0.374 0.374
Sb 0.374 0.878 0.374
Sb 0.878 0.374 0.374
Sb 0.374 0.374 0.878
P 0.000 0.000 0.000
Li 0.750 0.750 0.750

Results
* SG: F-43m (216)


Entry 9:
Here is Li2SbP after structural relaxation from Alexandria via LeMat-Bulk. Energies are from PBE.

a b c (Å): 4.931 4.931 4.422
angles (deg): 69.00 69.00 45.43
Element x y z (fractional)
Li 0.517 0.517 0.467
Li 0.983 0.983 0.033
P 0.250 0.250 0.250
Sb 0.750 0.750 0.750

Results
* SG: C2/m (12)
* offset from the most stable computed form: 0.000 eV/f.u.


Entry 10:
Here is LiSbP2 after structural relaxation from Alexandria via LeMat-Bulk. Energies are from PBE.

a b c (Å): 3.602 3.607 6.579
angles (deg): 90.00 90.00 90.00
Element x y z (fractional)
Li 0.500 0.500 0.919
P 0.000 0.000 0.822
P 0.500 0.500 0.314
Sb 0.000 0.000 0.446

Results
* SG: P4mm (99)


Entry 11:
Here is LiSbP2 after structural relaxation from Alexandria via LeMat-Bulk. Energies are from PBE.

a b c (Å): 5.949 5.949 6.905
angles (deg): 64.49 64.49 90.00
Element x y z (fractional)
P 0.875 0.874 0.750
P 0.624 0.125 0.250
P 0.126 0.625 0.250
P 0.375 0.376 0.750
Li 0.500 0.500 0.000
Li 0.250 0.750 0.500
Sb 0.000 0.000 0.000
Sb 0.750 0.250 0.500

Results
* SG: I-42d (122)


Entry 12:
Here is Li2Sb2P after structural relaxation from Alexandria via LeMat-Bulk. Energies are from PBE.

a b c (Å): 7.248 7.248 4.334
angles (deg): 90.00 90.00 90.00
Element x y z (fractional)
Li 0.337 0.163 0.500
Li 0.163 0.663 0.500
Li 0.663 0.837 0.500
Li 0.837 0.337 0.500
P 0.000 0.000 0.000
P 0.500 0.500 0.000
Sb 0.141 0.359 0.000
Sb 0.359 0.859 0.000
Sb 0.859 0.641 0.000
Sb 0.641 0.141 0.000

Results
* SG: P4/mbm (127)
* offset from the most stable computed form: 0.282 eV/f.u.


no.,ρ (Mg/m³),formation energy (no corrections) (meV/atom)
1,3.5,-160
2,3.8,-290
3,3.9,-50
4,4.2,6
5,2.6,-518
6,3.9,-229
7,3.8,14
8,5.3,438
9,3.9,-354
10,3.7,60
11,3.3,-39
12,4.2,-85